1.
{
  "formula": "TmCdSe2",
  "functional": "PBE",
  "state": "relaxed",
  "dos_at_fermi_per_ev_cell": 1.89,
  "raw_formation_energy_mev_per_atom": -1085,
  "lattice": [[4.0724, 0.0000, 0.0000], [2.0362, 3.5268, 0.0000], [2.0362, 1.1756, 8.5617]],
  "species": ["Tm", "Se", "Se", "Cd"],
  "fractional_positions": [[0.5000, 0.5000, 0.5000], [0.1059, 0.1059, 0.6823], [0.8941, 0.8941, 0.3177], [0.0000, 0.0000, 0.0000]]
}

---

2.
{
  "formula": "AcCe2Hg",
  "functional": "PBE",
  "state": "relaxed",
  "dos_at_fermi_per_ev_cell": 15.83,
  "e_form_kj_per_mol_fu": 44,
  "lattice": [[-2.8839, -4.3981, 1.8605], [1.4604, -2.4724, 4.7829], [-3.2522, 0.5001, 4.5050]],
  "species": ["Ac", "Hg", "Ce", "Ce"],
  "fractional_positions": [[0.0000, 0.0000, 0.0000], [0.5000, 0.5000, 0.5000], [0.2500, 0.2500, 0.2500], [0.7500, 0.7500, 0.7500]]
}

---

3.
{
  "formula": "NaMg2Al2",
  "functional": "PBE",
  "state": "relaxed",
  "dos_at_fermi_per_ev_cell": 3.91,
  "e_form_kj_per_mol_fu": 35,
  "lattice": [[8.6723, 0.0000, 0.0000], [0.0000, 8.6723, 0.0000], [0.0000, 0.0000, 2.9644]],
  "species": ["Na", "Na", "Mg", "Mg", "Mg", "Mg", "Al", "Al", "Al", "Al"],
  "fractional_positions": [[0.0000, 0.0000, 0.0000], [0.5000, 0.5000, 0.0000], [0.3700, 0.8700, 0.0000], [0.8700, 0.6300, 0.0000], [0.6300, 0.1300, 0.0000], [0.1300, 0.3700, 0.0000], [0.1661, 0.6661, 0.5000], [0.6661, 0.8339, 0.5000], [0.8339, 0.3339, 0.5000], [0.3339, 0.1661, 0.5000]]
}

---

Please write out number 3 again, unchanged.
{
  "formula": "NaMg2Al2",
  "functional": "PBE",
  "state": "relaxed",
  "dos_at_fermi_per_ev_cell": 3.91,
  "e_form_kj_per_mol_fu": 35,
  "lattice": [[8.6723, 0.0000, 0.0000], [0.0000, 8.6723, 0.0000], [0.0000, 0.0000, 2.9644]],
  "species": ["Na", "Na", "Mg", "Mg", "Mg", "Mg", "Al", "Al", "Al", "Al"],
  "fractional_positions": [[0.0000, 0.0000, 0.0000], [0.5000, 0.5000, 0.0000], [0.3700, 0.8700, 0.0000], [0.8700, 0.6300, 0.0000], [0.6300, 0.1300, 0.0000], [0.1300, 0.3700, 0.0000], [0.1661, 0.6661, 0.5000], [0.6661, 0.8339, 0.5000], [0.8339, 0.3339, 0.5000], [0.3339, 0.1661, 0.5000]]
}

---

Please write out number 3 again, unchanged.
{
  "formula": "NaMg2Al2",
  "functional": "PBE",
  "state": "relaxed",
  "dos_at_fermi_per_ev_cell": 3.91,
  "e_form_kj_per_mol_fu": 35,
  "lattice": [[8.6723, 0.0000, 0.0000], [0.0000, 8.6723, 0.0000], [0.0000, 0.0000, 2.9644]],
  "species": ["Na", "Na", "Mg", "Mg", "Mg", "Mg", "Al", "Al", "Al", "Al"],
  "fractional_positions": [[0.0000, 0.0000, 0.0000], [0.5000, 0.5000, 0.0000], [0.3700, 0.8700, 0.0000], [0.8700, 0.6300, 0.0000], [0.6300, 0.1300, 0.0000], [0.1300, 0.3700, 0.0000], [0.1661, 0.6661, 0.5000], [0.6661, 0.8339, 0.5000], [0.8339, 0.3339, 0.5000], [0.3339, 0.1661, 0.5000]]
}